Model i:
Density functional theory data (PBE) for a relaxed structure of Si2Br3.

abc: 8.5843 8.2548 7.1708
angles: 67.20 62.44 50.36
Positions (direct):
Si  0.4448  0.7032  0.4162
Si  0.4358  0.4162  0.7032
Si  0.5468  0.8052  0.8142
Si  0.8338  0.8142  0.8052
Br  0.7596  0.6121  0.4453
Br  0.1829  0.4453  0.6121
Br  0.6379  0.4904  0.0671
Br  0.8047  0.0671  0.4904
Br  0.1769  0.8231  0.8231
Br  0.4269  0.0731  0.0731

Crystal system: orthorhombic
M_tot: 0.00 μB/cell
Symmetry: No. 43

Model ii:
Density functional theory data (PBE) for a relaxed structure of Si2Br3.

abc: 4.2618 4.2618 9.6373
angles: 90.00 90.00 120.00
Positions (direct):
Si  0.6667  0.3333  0.1724
Si  0.3333  0.6667  0.8276
Br  0.0000  0.0000  0.0000
Br  0.6667  0.3333  0.6962
Br  0.3333  0.6667  0.3038

Crystal system: trigonal
M_tot: 0.00 μB/cell
Symmetry: No. 164

Model iii:
Density functional theory data (PBE) for a relaxed structure of Si2Br3.

abc: 11.5589 11.5589 11.5589
angles: 18.46 18.46 18.46
Positions (direct):
Si  0.3955  0.3955  0.3955
Si  0.6045  0.6045  0.6045
Br  0.0000  0.0000  0.0000
Br  0.7805  0.7805  0.7805
Br  0.2195  0.2195  0.2195

Crystal system: trigonal
M_tot: 0.00 μB/cell
Symmetry: No. 166

It comes down to model i, which is 0.202 eV/atom more stable than the next structure.

Model i:
Density functional theory data (PBE) for a relaxed structure of Si4Br.

abc: 5.2099 5.2099 5.2099
angles: 109.47 109.47 109.47
Positions (direct):
Si  0.5000  0.0000  0.0000
Si  0.5000  0.5000  0.5000
Si  0.0000  0.5000  0.0000
Si  0.0000  0.0000  0.5000
Br  0.0000  0.0000  0.0000

Crystal system: cubic
M_tot: 0.00 μB/cell
Symmetry: No. 229

Model ii:
Density functional theory data (PBE) for a relaxed structure of Si4Br.

abc: 4.9759 4.9759 4.9759
angles: 90.00 90.00 90.00
Positions (direct):
Si  0.0000  0.0000  0.0000
Si  0.5000  0.0000  0.5000
Si  0.0000  0.5000  0.5000
Si  0.5000  0.5000  0.0000
Br  0.5000  0.5000  0.5000

Crystal system: cubic
M_tot: 0.00 μB/cell
Symmetry: No. 221

It comes down to model i, which is 0.330 eV/atom more stable than the next structure.

Model i:
Density functional theory data (PBE) for a relaxed structure of Si4Br3.

abc: 7.0961 7.0961 4.2136
angles: 90.00 90.00 120.00
Positions (direct):
Si  0.0000  0.0000  0.2568
Si  0.0000  0.0000  0.7432
Si  0.6667  0.3333  0.5000
Si  0.3333  0.6667  0.5000
Br  0.0000  0.5000  0.0000
Br  0.5000  0.5000  0.0000
Br  0.5000  0.0000  0.0000

Crystal system: hexagonal
M_tot: 0.00 μB/cell
Symmetry: No. 191

Model ii:
Density functional theory data (PBE) for a relaxed structure of Si4Br3.

abc: 13.9448 13.9448 13.9448
angles: 165.15 165.15 21.07
Positions (direct):
Si  0.0909  0.0909  0.0000
Si  0.9091  0.9091  0.0000
Si  0.3966  0.3966  0.0000
Si  0.6034  0.6034  0.0000
Br  0.0000  0.0000  0.0000
Br  0.3135  0.3135  0.0000
Br  0.6865  0.6865  0.0000

Crystal system: tetragonal
M_tot: 0.00 μB/cell
Symmetry: No. 139

It comes down to model ii, which is 0.753 eV/atom more stable than the next structure.

Model i:
Density functional theory data (PBE) for a relaxed structure of Sm2SiBr.

abc: 4.2236 4.2236 7.6393
angles: 73.95 73.95 60.00
Positions (direct):
Sm  0.2637  0.2637  0.2088
Sm  0.7363  0.7363  0.7912
Si  0.0000  0.0000  0.0000
Br  0.5000  0.5000  0.5000

Crystal system: trigonal
M_tot: 0.00 μB/cell
Symmetry: No. 166

Model ii:
Density functional theory data (PBE) for a relaxed structure of Sm2SiBr.

abc: 4.1671 4.1671 7.9145
angles: 74.74 74.74 60.00
Positions (direct):
Sm  0.0687  0.0687  0.7939
Sm  0.2657  0.2657  0.2030
Si  0.6680  0.6680  0.9961
Br  0.4977  0.4977  0.5070

Crystal system: trigonal
M_tot: 0.00 μB/cell
Symmetry: No. 160

It comes down to model i, which is 0.039 eV/atom more stable than the next structure.

Model i:
Density functional theory data (PBE) for a relaxed structure of Sm3SiBr3.

abc: 10.2772 10.2772 10.2772
angles: 109.47 109.47 109.47
Positions (direct):
Sm  0.9770  0.4885  0.2385
Sm  0.5115  0.0230  0.2615
Sm  0.2500  0.0115  0.4885
Sm  0.9885  0.7500  0.0115
Sm  0.9885  0.2385  0.4770
Sm  0.7615  0.0115  0.0230
Sm  0.7385  0.4770  0.4885
Sm  0.7615  0.7500  0.2385
Sm  0.5230  0.2615  0.0115
Sm  0.2500  0.2385  0.2615
Sm  0.7385  0.2615  0.7500
Sm  0.5115  0.4885  0.7500
Si  0.7500  0.5000  0.0000
Si  0.5000  0.2500  0.5000
Si  0.7500  0.2500  0.2500
Si  0.0000  0.0000  0.2500
Br  0.2453  0.9953  0.9906
Br  0.7500  0.7547  0.7453
Br  0.4906  0.7453  0.9953
Br  0.0047  0.2500  0.9953
Br  0.2547  0.7453  0.2500
Br  0.4953  0.5047  0.2500
Br  0.2453  0.2500  0.7547
Br  0.2547  0.5094  0.5047
Br  0.7500  0.9953  0.5047
Br  0.0094  0.5047  0.7547
Br  0.0047  0.7547  0.5094
Br  0.4953  0.9906  0.7453

Crystal system: cubic
M_tot: 0.00 μB/cell
Symmetry: No. 214

Model ii:
Density functional theory data (PBE) for a relaxed structure of Sm3SiBr3.

abc: 5.8996 5.8996 5.8996
angles: 90.00 90.00 90.00
Positions (direct):
Sm  0.5000  0.0000  0.5000
Sm  0.5000  0.5000  0.0000
Sm  0.0000  0.5000  0.5000
Si  0.5000  0.5000  0.5000
Br  0.0000  0.5000  0.0000
Br  0.0000  0.0000  0.5000
Br  0.5000  0.0000  0.0000

Crystal system: cubic
M_tot: 0.00 μB/cell
Symmetry: No. 221

It comes down to model i, which is 0.105 eV/atom more stable than the next structure.

Model i:
Density functional theory data (PBE) for a relaxed structure of SiSnBr2.

abc: 4.8497 4.8497 10.2251
angles: 76.28 76.28 90.00
Positions (direct):
Si  0.5000  0.5000  0.0000
Si  0.2500  0.7500  0.5000
Sn  0.0000  0.0000  0.0000
Sn  0.7500  0.2500  0.5000
Br  0.6094  0.1250  0.2500
Br  0.1406  0.6250  0.2500
Br  0.3750  0.3906  0.7500
Br  0.8750  0.8594  0.7500

Crystal system: tetragonal
M_tot: 0.00 μB/cell
Symmetry: No. 122

Model ii:
Density functional theory data (PBE) for a relaxed structure of SiSnBr2.

abc: 10.0774 10.0774 10.0774
angles: 20.76 20.76 20.76
Positions (direct):
Si  0.5000  0.5000  0.5000
Sn  0.0000  0.0000  0.0000
Br  0.8987  0.8987  0.8987
Br  0.1013  0.1013  0.1013

Crystal system: trigonal
M_tot: 0.00 μB/cell
Symmetry: No. 166

Model iii:
Density functional theory data (PBE) for a relaxed structure of SiSnBr2.

abc: 5.2367 5.2367 5.2367
angles: 60.00 60.00 60.00
Positions (direct):
Si  0.0000  0.0000  0.0000
Sn  0.5000  0.5000  0.5000
Br  0.2500  0.2500  0.2500
Br  0.7500  0.7500  0.7500

Crystal system: cubic
M_tot: 0.00 μB/cell
Symmetry: No. 225

It comes down to model ii, which is 0.091 eV/atom more stable than the next structure.

Model i:
Density functional theory data (PBE) for a relaxed structure of Si2SnBr.

abc: 5.6253 5.6253 8.3699
angles: 70.36 70.36 90.00
Positions (direct):
Si  0.6278  0.1250  0.2500
Si  0.1222  0.6250  0.2500
Si  0.3750  0.3722  0.7500
Si  0.8750  0.8778  0.7500
Sn  0.0000  0.0000  0.0000
Sn  0.7500  0.2500  0.5000
Br  0.5000  0.5000  0.0000
Br  0.2500  0.7500  0.5000

Crystal system: tetragonal
M_tot: 0.00 μB/cell
Symmetry: No. 122

Model ii:
Density functional theory data (PBE) for a relaxed structure of Si2SnBr.

abc: 4.9374 4.9374 4.9374
angles: 60.00 60.00 60.00
Positions (direct):
Si  0.2500  0.2500  0.2500
Si  0.7500  0.7500  0.7500
Sn  0.5000  0.5000  0.5000
Br  0.0000  0.0000  0.0000

Crystal system: cubic
M_tot: 0.00 μB/cell
Symmetry: No. 225

It comes down to model ii, which is 0.071 eV/atom more stable than the next structure.

Model i:
Density functional theory data (PBE) for a relaxed structure of SiSn3Br.

abc: 5.3603 5.3603 5.3603
angles: 90.00 90.00 90.00
Positions (direct):
Si  0.0000  0.0000  0.0000
Sn  0.0000  0.5000  0.0000
Sn  0.0000  0.0000  0.5000
Sn  0.5000  0.0000  0.0000
Br  0.5000  0.5000  0.5000

Crystal system: cubic
M_tot: 0.00 μB/cell
Symmetry: No. 221

Model ii:
Density functional theory data (PBE) for a relaxed structure of SiSn3Br.

abc: 5.5450 5.5450 5.5450
angles: 90.00 90.00 90.00
Positions (direct):
Si  0.5000  0.5000  0.5000
Sn  0.0000  0.5000  0.0000
Sn  0.0000  0.0000  0.5000
Sn  0.5000  0.0000  0.0000
Br  0.0000  0.0000  0.0000

Crystal system: cubic
M_tot: 0.00 μB/cell
Symmetry: No. 221

It comes down to model i, which is 0.548 eV/atom more stable than the next structure.